No. 1
RuS2Br | meta-GGA SCAN | single point on PBEsol structure

Lattice parameters (Å, degrees): 6.344 6.344 8.933 90.00 90.00 90.00
Space group I-42d (No. 122)
Asymmetric unit:
Ru  0.000  0.000  0.000 (multiplicity 4)
S  0.155  0.250  0.125 (multiplicity 8)
Br  0.000  0.000  0.500 (multiplicity 4)

raw formation energy = 0.07 eV per formula unit
VASP energy = -18.37 eV/atom


No. 2
FeP2Br | meta-GGA SCAN | single point on PBEsol structure

Lattice parameters (Å, degrees): 2.682 2.682 9.803 90.00 90.00 90.00
Space group P4/mmm (No. 123)
Asymmetric unit:
Fe  0.000  0.000  0.000 (multiplicity 1)
P  0.500  0.500  0.146 (multiplicity 2)
Br  0.000  0.000  0.500 (multiplicity 1)

raw formation energy = 0.81 eV per formula unit
VASP energy = -14.39 eV/atom
energy relative to the lowest polymorph listed for this composition = 0 meV per atom


No. 3
BaIn2FeIr | meta-GGA SCAN | single point on PBEsol structure

Lattice parameters (Å, degrees): 5.793 5.793 4.740 90.00 90.00 90.00
Space group P4/mmm (No. 123)
Asymmetric unit:
Ba  0.000  0.000  0.000 (multiplicity 1)
In  0.000  0.500  0.000 (multiplicity 2)
Fe  0.000  0.000  0.500 (multiplicity 1)
Ir  0.500  0.500  0.500 (multiplicity 1)

formation energy = 2.385 eV per atom
VASP energy = -36.73 eV/atom


No. 4
RbSO4 | meta-GGA SCAN | single point on PBEsol structure

Lattice parameters (Å, degrees): 7.382 7.762 9.468 90.00 129.25 90.00
Space group P2_1/c (No. 14)
Asymmetric unit:
Rb  0.202  0.156  0.285 (multiplicity 4)
S  0.260  0.666  0.179 (multiplicity 4)
O  0.094  0.691  0.618 (multiplicity 4)
O  0.200  0.521  0.245 (multiplicity 4)
O  0.254  0.608  0.026 (multiplicity 4)
O  0.499  0.221  0.168 (multiplicity 4)

raw formation energy = -9.60 eV per formula unit
VASP energy = -10.81 eV/atom


No. 5
SrSc2Ag | meta-GGA SCAN | single point on PBEsol structure

Lattice parameters (Å, degrees): 7.393 7.393 7.393 90.00 90.00 90.00
Space group F-43m (No. 216)
Asymmetric unit:
Sr  0.000  0.000  0.000 (multiplicity 4)
Sc  0.000  0.000  0.500 (multiplicity 4)
Sc  0.250  0.250  0.250 (multiplicity 4)
Ag  0.250  0.250  0.750 (multiplicity 4)

formation energy = 0.283 eV per atom
VASP energy = -20.25 eV/atom
energy relative to the lowest polymorph listed for this composition = 265 meV per atom


No. 6
CuMoOF2 | meta-GGA SCAN | single point on PBEsol structure

Lattice parameters (Å, degrees): 4.121 4.121 3.772 90.00 90.00 90.00
Space group P4/mmm (No. 123)
Asymmetric unit:
Cu  0.000  0.000  0.000 (multiplicity 1)
Mo  0.500  0.500  0.500 (multiplicity 1)
O  0.500  0.500  0.000 (multiplicity 1)
F  0.000  0.500  0.500 (multiplicity 2)

raw formation energy = -6.11 eV per formula unit
VASP energy = -13.90 eV/atom


No. 7
RbPt3I | meta-GGA SCAN | single point on PBEsol structure

Lattice parameters (Å, degrees): 5.031 5.031 5.031 90.00 90.00 90.00
Space group Pm-3m (No. 221)
Asymmetric unit:
Rb  0.000  0.000  0.000 (multiplicity 1)
Pt  0.000  0.500  0.500 (multiplicity 3)
I  0.500  0.500  0.500 (multiplicity 1)

raw formation energy = 3.14 eV per formula unit
VASP energy = -52.98 eV/atom
energy relative to the lowest polymorph listed for this composition = 0 meV per atom


No. 8
KMoPd2 | meta-GGA SCAN | single point on PBEsol structure

Lattice parameters (Å, degrees): 6.593 6.593 6.593 90.00 90.00 90.00
Space group Fm-3m (No. 225)
Asymmetric unit:
K  0.000  0.000  0.000 (multiplicity 4)
Mo  0.000  0.000  0.500 (multiplicity 4)
Pd  0.250  0.250  0.250 (multiplicity 8)

formation energy = 0.830 eV per atom
VASP energy = -26.36 eV/atom